1.
VASP calculation (PBE-GGA) on a relaxed structure of Pm5Bi4N.

Crystal system: tetragonal
Energy relative to the elements, uncorrected, meV per atom: -869

Cell: 6.435 7.615 7.615 Å, 79.72 65.01 65.01°
Positions (direct):
Pm1 0.905 0.352 0.840
Pm2 0.258 0.840 0.648
Pm3 0.745 0.160 0.352
Pm4 0.098 0.648 0.160
Pm5 0.421 0.000 0.000
Bi1 0.421 0.393 0.775
Bi2 0.814 0.775 0.607
Bi3 0.196 0.225 0.393
Bi4 0.589 0.607 0.225
N1 0.065 0.000 0.000

=====

2.
VASP calculation (PBE-GGA) on a relaxed structure of PmYScAl.

Crystal system: cubic
DFT total energy, eV per atom: -5.433

Cell: 5.292 5.292 5.292 Å, 60.00 60.00 60.00°
Positions (direct):
Y1 0.000 0.000 0.000
Sc1 0.250 0.250 0.250
Al1 0.750 0.750 0.750
Pm1 0.500 0.500 0.500

=====

3.
VASP calculation (PBE-GGA) on a relaxed structure of ScGaRuRh.

Crystal system: orthorhombic
DFT total energy, eV per atom: -7.237

Cell: 3.208 4.366 4.314 Å, 90.00 90.00 90.00°
Positions (direct):
Sc1 0.000 0.500 0.500
Ga1 0.000 0.000 0.000
Ru1 0.500 0.000 0.500
Rh1 0.500 0.500 0.000

=====

4.
VASP calculation (PBE-GGA) on a relaxed structure of Nd3Ho4Tm2.

Crystal system: triclinic
DFT total energy, eV per atom: -4.597

Cell: 6.167 6.174 12.854 Å, 118.60 104.01 119.89°
Positions (direct):
Nd1 0.553 0.110 0.666
Nd2 0.000 0.000 0.000
Nd3 0.447 0.890 0.334
Ho1 0.665 0.332 0.000
Ho2 0.335 0.668 0.000
Ho3 0.889 0.780 0.667
Ho4 0.111 0.220 0.333
Tm1 0.780 0.557 0.334
Tm2 0.220 0.443 0.666

=====

Number 1: ρ 8.5 g/cm3. Number 2: ρ 4.8 g/cm3. Number 3: ρ 8.8 g/cm3. Number 4: ρ 8.2 g/cm3.